# 1
ZrCr2Sb after structural relaxation. Source: Alexandria, functional PBE.

Crystal system: monoclinic
Uncorrected formation energy in meV per atom: 221
E_tot in eV/atom: -7.759
ρ in Mg/m³: 7.53
Space-group type: C2/m

Lattice parameters (Å, degrees): 4.880 4.880 4.769 106.56 106.56 40.25
Fractional coordinates of all 4 atoms:
Zr: 0.000 0.000 0.000
Cr: 0.245 0.245 0.675
Cr: 0.755 0.755 0.325
Sb: 0.500 0.500 0.500

# 2
ZrCr2Sb after structural relaxation. Source: Alexandria, functional PBE.

Crystal system: tetragonal
Uncorrected formation energy in meV per atom: 613
E_tot in eV/atom: -7.367
ρ in Mg/m³: 6.42
Space-group type: I-42d

Lattice parameters (Å, degrees): 6.056 6.056 6.056 103.26 103.26 122.76
Fractional coordinates of all 8 atoms:
Zr: 0.000 0.000 0.000
Zr: 0.750 0.250 0.500
Cr: 0.137 0.625 0.012
Cr: 0.375 0.387 0.512
Cr: 0.613 0.125 0.988
Cr: 0.875 0.863 0.488
Sb: 0.250 0.750 0.500
Sb: 0.500 0.500 0.000

# 3
Sc3Cr4 after structural relaxation. Source: Alexandria, functional PBE.

Crystal system: hexagonal
Polymorph energy (0 for the lowest one) in eV per atom: 0.599
E_tot in eV/atom: -7.448
ρ in Mg/m³: 4.42
Space-group type: P6/mmm

Lattice parameters (Å, degrees): 5.541 5.541 4.841 90.00 90.00 120.00
Fractional coordinates of all 7 atoms:
Sc: 0.000 0.500 0.000
Sc: 0.500 0.000 0.000
Sc: 0.500 0.500 0.000
Cr: 0.000 0.000 0.262
Cr: 0.000 0.000 0.738
Cr: 0.333 0.667 0.500
Cr: 0.667 0.333 0.500